DFT (GGA-PBE) results for a geometry-optimized RbTlBiPd2 structure.

Computed properties:
* V: 31.5 Å³/atom
* theoretical density: 7.5 g/cm3
* size of the total moment: 0.0 μB per formula unit
* symmetry: P2_1/m (11)
* DFT formation energy: -225 meV per atom

Cell: 7.815 4.863 8.413 Å, 90.00 99.64 90.00°
Atoms (fractional coordinates):
Rb: 0.178 0.250 0.366
Rb: 0.822 0.750 0.634
Tl: 0.487 0.250 0.745
Tl: 0.513 0.750 0.255
Bi: 0.114 0.250 0.885
Bi: 0.886 0.750 0.115
Pd: 0.219 0.750 0.011
Pd: 0.445 0.250 0.077
Pd: 0.555 0.750 0.923
Pd: 0.781 0.250 0.989